# 1
Material: CaScHg2
Method: DFT, meta-GGA SCAN
State: single point on PBEsol structure

The total magnetization is 0.00 μB per formula unit. As for the crystal system: orthorhombic. The density of states at the Fermi level is 2.06 states/eV/cell. The raw total energy is -40.7292 eV/atom.

The space group is Pmm2 (No. 25) and the conventional cell measures 3.531, 5.078 and 5.077 Å, with angles of 90.00, 90.00 and 90.00 degrees. Symmetry generates all atoms from Ca at (0.000, 0.000, 0.000), Sc at (0.000, 0.500, 0.501), Hg at (0.500, 0.000, 0.500) and Hg at (0.500, 0.500, 0.001).

# 2
Material: CaHg2Se
Method: DFT, meta-GGA SCAN
State: single point on PBEsol structure

The total magnetization is 0.00 μB per formula unit. As for the crystal system: tetragonal. The raw total energy is -42.2703 eV/atom.

The space group is I-4m2 (No. 119) and the conventional cell measures 4.969, 4.969 and 7.832 Å, with angles of 90.00, 90.00 and 90.00 degrees. Symmetry generates all atoms from Ca at (0.000, 0.000, 0.000), Hg at (0.000, 0.000, 0.500), Hg at (0.000, 0.500, 0.250) and Se at (0.000, 0.500, 0.750).

# 3
Material: Ca2HgSe
Method: DFT, meta-GGA SCAN
State: single point on PBEsol structure

The total magnetization is 0.00 μB per formula unit. As for the crystal system: tetragonal. The density of states at the Fermi level is 4.40 states/eV/cell. The raw total energy is -27.9540 eV/atom.

The space group is I-4m2 (No. 119) and the conventional cell measures 4.237, 4.237 and 11.696 Å, with angles of 90.00, 90.00 and 90.00 degrees. Symmetry generates all atoms from Ca at (0.000, 0.000, 0.000), Ca at (0.000, 0.500, 0.250), Hg at (0.000, 0.000, 0.500) and Se at (0.000, 0.500, 0.750).

# 4
Material: CaSiHg3
Method: DFT, meta-GGA SCAN
State: single point on PBEsol structure

The total magnetization is 0.00 μB per formula unit. As for the crystal system: cubic. The density of states at the Fermi level is 5.26 states/eV/cell. The raw total energy is -44.0125 eV/atom.

The space group is Pm-3m (No. 221) and the conventional cell measures 5.516, 5.516 and 5.516 Å, with angles of 90.00, 90.00 and 90.00 degrees. Symmetry generates all atoms from Ca at (0.000, 0.000, 0.000), Si at (0.500, 0.500, 0.500) and Hg at (0.000, 0.000, 0.500).

# 5
Material: CaSi4Hg
Method: DFT, meta-GGA SCAN
State: single point on PBEsol structure

The total magnetization is 0.00 μB per formula unit. As for the crystal system: cubic. The density of states at the Fermi level is 9.10 states/eV/cell. The raw total energy is -19.4884 eV/atom.

The space group is F-43m (No. 216) and the conventional cell measures 7.513, 7.513 and 7.513 Å, with angles of 90.00, 90.00 and 90.00 degrees. Symmetry generates all atoms from Ca at (0.000, 0.000, 0.000), Si at (0.124, 0.124, 0.376) and Hg at (0.250, 0.250, 0.750).

# 6
Material: CaSi2Hg
Method: DFT, meta-GGA SCAN
State: single point on PBEsol structure

The total magnetization is 0.00 μB per formula unit. As for the crystal system: monoclinic. The density of states at the Fermi level is 2.46 states/eV/cell. The raw total energy is -24.5882 eV/atom.

The space group is Cm (No. 8) and the conventional cell measures 7.527, 3.790 and 6.430 Å, with angles of 90.00, 107.11 and 90.00 degrees. Symmetry generates all atoms from Ca at (0.000, 0.000, 0.000), Si at (0.259, 0.500, 0.308), Si at (0.464, 0.000, 0.407) and Hg at (0.228, 0.000, 0.674).

# 7
Material: CaSi2Hg
Method: DFT, meta-GGA SCAN
State: single point on PBEsol structure

The total magnetization is 0.00 μB per formula unit. As for the crystal system: trigonal. The density of states at the Fermi level is 5.71 states/eV/cell. The raw total energy is -24.3868 eV/atom.

The space group is R-3m (No. 166, hexagonal axes) and the conventional cell measures 4.4711, 4.4711 and 15.0898 Å, with angles of 90.00, 90.00 and 120.00 degrees. Symmetry generates all atoms from Ca at (0.0000, 0.0000, 0.0000), Si at (0.0000, 0.0000, 0.2111) and Hg at (0.0000, 0.0000, 0.5000).

# 8
Material: CaSiHg2
Method: DFT, meta-GGA SCAN
State: single point on PBEsol structure

The total magnetization is 0.00 μB per formula unit. As for the crystal system: tetragonal. The density of states at the Fermi level is 3.21 states/eV/cell. The raw total energy is -39.0971 eV/atom.

The space group is I-4m2 (No. 119) and the conventional cell measures 4.378, 4.378 and 9.156 Å, with angles of 90.00, 90.00 and 90.00 degrees. Symmetry generates all atoms from Ca at (0.000, 0.000, 0.000), Si at (0.000, 0.500, 0.750), Hg at (0.000, 0.000, 0.500) and Hg at (0.000, 0.500, 0.250).

# 9
Material: Ca2ZnSiHg
Method: DFT, meta-GGA SCAN
State: single point on PBEsol structure

The total magnetization is 0.00 μB per formula unit. As for the crystal system: tetragonal. The density of states at the Fermi level is 2.11 states/eV/cell. The raw total energy is -22.0360 eV/atom.

The space group is P4/mmm (No. 123) and the conventional cell measures 5.727, 5.727 and 4.731 Å, with angles of 90.00, 90.00 and 90.00 degrees. Symmetry generates all atoms from Ca at (0.000, 0.500, 0.000), Zn at (0.000, 0.000, 0.500), Si at (0.500, 0.500, 0.500) and Hg at (0.500, 0.500, 0.000).

# 10
Material: CaSmHg2
Method: DFT, meta-GGA SCAN
State: single point on PBEsol structure

The total magnetization is 0.00 μB per formula unit. As for the crystal system: cubic. The density of states at the Fermi level is 8.67 states/eV/cell. The raw total energy is -48.3589 eV/atom.

The space group is Fm-3m (No. 225) and the conventional cell measures 7.411, 7.411 and 7.411 Å, with angles of 90.00, 90.00 and 90.00 degrees. Symmetry generates all atoms from Ca at (0.000, 0.000, 0.000), Sm at (0.000, 0.000, 0.500) and Hg at (0.250, 0.250, 0.250).

# 11
Material: Ca2SnHg
Method: DFT, meta-GGA SCAN
State: single point on PBEsol structure

The total magnetization is 0.00 μB per formula unit. As for the crystal system: cubic. The density of states at the Fermi level is 2.51 states/eV/cell. The raw total energy is -31.6269 eV/atom.

The space group is Fm-3m (No. 225) and the conventional cell measures 7.522, 7.522 and 7.522 Å, with angles of 90.00, 90.00 and 90.00 degrees. Symmetry generates all atoms from Ca at (0.250, 0.250, 0.250), Sn at (0.000, 0.000, 0.000) and Hg at (0.000, 0.000, 0.500).

# 12
Material: Ca2SnHg2
Method: DFT, meta-GGA SCAN
State: single point on PBEsol structure

The total magnetization is 0.00 μB per formula unit. As for the crystal system: tetragonal. The density of states at the Fermi level is 4.06 states/eV/cell. The raw total energy is -38.9604 eV/atom.

The space group is P4/mbm (No. 127) and the conventional cell measures 8.095, 8.095 and 3.937 Å, with angles of 90.00, 90.00 and 90.00 degrees. Symmetry generates all atoms from Ca at (0.172, 0.328, 0.000), Sn at (0.000, 0.000, 0.500) and Hg at (0.127, 0.627, 0.500).

Question: The lowest raw total energy belongs to which entry?
Answer: CaSmHg2